(1)
Below is a relaxed structure of Li2InIr, with properties calculated at the GGA-PBE level.

```
Li2InIr
1.0
2.811 0.000 0.000
0.000 2.811 0.000
0.000 0.000 8.364
Li In Ir
2 1 1
Direct
0.000 0.000 0.211
0.000 0.000 0.789
0.500 0.500 0.500
0.500 0.500 0.000
```

Computed properties:
As for the energy of formation from the pure elements: -0.0227 eV per atom. Its total energy is -15.5 eV per formula unit. Its crystal system is tetragonal.


(2)
Below is a relaxed structure of Si2PIr, with properties calculated at the GGA-PBE level.

```
Si2PIr
1.0
-1.416 2.022 5.418
1.416 -2.022 5.418
1.416 2.022 -5.418
Si P Ir
2 1 1
Direct
0.201 0.201 0.000
0.799 0.799 0.000
0.500 0.000 0.500
0.000 0.500 0.500
```

Computed properties:
The uncorrected formation energy is 0.218 eV/atom. Its total energy is -24.2 eV per formula unit. Its crystal system is orthorhombic. The energy above the most stable polymorph in this dataset is 476.1 meV/atom.


(3)
Below is a relaxed structure of Mn6CuAu12, with properties calculated at the GGA-PBE level.

```
Mn6CuAu12
1.0
5.221 3.014 3.281
-5.221 3.014 3.281
0.000 -6.029 3.281
Mn Cu Au
6 1 12
Direct
0.029 0.801 0.202
0.199 0.798 0.971
0.202 0.029 0.801
0.798 0.971 0.199
0.801 0.202 0.029
0.971 0.199 0.798
0.500 0.500 0.500
0.148 0.440 0.169
0.169 0.148 0.440
0.170 0.665 0.563
0.335 0.437 0.830
0.437 0.830 0.335
0.440 0.169 0.148
0.560 0.831 0.852
0.563 0.170 0.665
0.665 0.563 0.170
0.830 0.335 0.437
0.831 0.852 0.560
0.852 0.560 0.831
```

Computed properties:
As for the energy of formation from the pure elements: 0.3377 eV per atom. Its total energy is -92.0 eV per formula unit. Its crystal system is trigonal.


(4)
Below is a relaxed structure of Sr2CdPb2, with properties calculated at the GGA-PBE level.

```
Sr2CdPb2
1.0
8.158 0.000 0.000
0.000 8.158 0.000
0.000 0.000 5.144
Sr Cd Pb
4 2 4
Direct
0.167 0.333 0.000
0.333 0.833 0.000
0.667 0.167 0.000
0.833 0.667 0.000
0.000 0.000 0.500
0.500 0.500 0.500
0.138 0.638 0.500
0.362 0.138 0.500
0.638 0.862 0.500
0.862 0.362 0.500
```

Computed properties:
As for the energy of formation from the pure elements: -0.4182 eV per atom. Its total energy is -13.8 eV per formula unit. Its crystal system is tetragonal. The energy above the most stable polymorph in this dataset is 52.8 meV/atom.


(5)
Below is a relaxed structure of NaCuCl3, with properties calculated at the GGA-PBE level.

```
NaCuCl3
1.0
6.735 0.000 0.000
-3.368 5.833 0.000
0.000 0.000 7.111
Na Cu Cl
2 2 6
Direct
0.333 0.667 0.000
0.667 0.333 0.000
0.000 0.000 0.230
0.000 0.000 0.770
0.000 0.322 0.763
0.000 0.678 0.237
0.322 0.000 0.763
0.322 0.322 0.237
0.678 0.000 0.237
0.678 0.678 0.763
```

Computed properties:
The uncorrected formation energy is -0.915 eV/atom. Its total energy is -15.5 eV per formula unit. Its crystal system is trigonal. The energy above the most stable polymorph in this dataset is 87.3 meV/atom.


(6)
Below is a relaxed structure of MnZn13, with properties calculated at the GGA-PBE level.

```
MnZn13
1.0
5.371 -3.791 0.000
5.371 3.791 0.000
-1.033 0.000 5.122
Mn Zn
1 13
Direct
0.000 0.000 0.000
0.000 0.000 0.500
0.007 0.643 0.698
0.221 0.626 0.180
0.224 0.224 0.873
0.357 0.993 0.302
0.374 0.779 0.820
0.384 0.384 0.557
0.616 0.616 0.443
0.626 0.221 0.180
0.643 0.007 0.698
0.776 0.776 0.127
0.779 0.374 0.820
0.993 0.357 0.302
```

Computed properties:
As for the energy of formation from the pure elements: -0.0068 eV per atom. Its total energy is -25.8 eV per formula unit. Its crystal system is monoclinic. The energy above the most stable polymorph in this dataset is 0.0 meV/atom.


(7)
Below is a relaxed structure of AcTe2H2Pd6, with properties calculated at the GGA-PBE level.

```
AcTe2H2Pd6
1.0
5.672 0.000 0.000
-1.538 5.573 0.000
-1.231 -1.114 6.247
Ac Te H Pd
1 2 2 6
Direct
0.000 0.000 0.000
0.482 0.725 0.214
0.518 0.275 0.786
0.083 0.727 0.673
0.917 0.273 0.327
0.149 0.496 0.840
0.216 0.890 0.480
0.246 0.394 0.426
0.754 0.606 0.574
0.784 0.110 0.520
0.851 0.504 0.160
```

Computed properties:
Its total energy is -53.0 eV per formula unit. Its crystal system is triclinic.


(8)
Below is a relaxed structure of TbNpTc, with properties calculated at the GGA-PBE level.

```
TbNpTc
1.0
-1.723 1.723 5.554
1.723 -1.723 5.554
1.723 1.723 -5.554
Tb Np Tc
1 1 1
Direct
0.000 0.000 0.000
0.703 0.703 0.000
0.310 0.310 0.000
```

Computed properties:
As for the energy of formation from the pure elements: 0.1817 eV per atom. Its total energy is -27.4 eV per formula unit. Its crystal system is tetragonal. The energy above the most stable polymorph in this dataset is 142.7 meV/atom.